Record 1
VASP calculation (GGA-PBE) on La5Tb4Sc2 after structural relaxation.

POSCAR file:
```
La5Tb4Sc2
1.0
8.838 0.000 0.000
0.000 3.556 0.000
-0.377 0.000 11.442
La Tb Sc
5 4 2
direct
0.000 0.000 0.000
0.096 0.500 0.272
0.462 0.500 0.366
0.538 0.500 0.634
0.904 0.500 0.728
0.188 0.000 0.564
0.289 0.500 0.850
0.711 0.500 0.150
0.812 0.000 0.436
0.377 0.000 0.103
0.623 0.000 0.897
```

Values from the calculation:
SG ... P2/m (10)
DOS at the Fermi energy ... 19.06 states/eV/f.u.
E ... -5.02 eV per atom
ΔH_f (0 K) ... 0.056 eV/atom

Record 2
VASP calculation (GGA-PBE) on La2Tb8Sc3 after structural relaxation.

POSCAR file:
```
La2Tb8Sc3
1.0
6.608 -5.667 0.000
6.608 5.667 0.000
-2.395 0.000 5.435
La Tb Sc
2 8 3
direct
0.180 0.180 0.346
0.820 0.820 0.654
0.082 0.082 0.780
0.111 0.580 0.348
0.363 0.363 0.892
0.420 0.889 0.652
0.580 0.111 0.348
0.637 0.637 0.108
0.889 0.420 0.652
0.918 0.918 0.220
0.242 0.758 0.000
0.500 0.500 0.500
0.758 0.242 0.000
```

Values from the calculation:
SG ... C2/m (12)
DOS at the Fermi energy ... 19.52 states/eV/f.u.
E ... -4.88 eV per atom
ΔH_f (0 K) ... 0.190 eV/atom

Record 3
VASP calculation (GGA-PBE) on La7Tb2Sc2 after structural relaxation.

POSCAR file:
```
La7Tb2Sc2
1.0
4.252 -5.483 0.000
4.252 5.483 0.000
-1.822 0.000 8.128
La Tb Sc
7 2 2
direct
0.000 0.000 0.000
0.077 0.512 0.819
0.203 0.203 0.483
0.488 0.923 0.181
0.512 0.077 0.819
0.797 0.797 0.517
0.923 0.488 0.181
0.425 0.425 0.182
0.575 0.575 0.818
0.290 0.710 0.500
0.710 0.290 0.500
```

Values from the calculation:
SG ... C2/m (12)
DOS at the Fermi energy ... 17.91 states/eV/f.u.
E ... -5.00 eV per atom
ΔH_f (0 K) ... 0.125 eV/atom

Record 4
VASP calculation (GGA-PBE) on LaTbSc after structural relaxation.

POSCAR file:
```
LaTbSc
1.0
3.476 0.000 0.000
0.000 4.949 0.000
-1.735 0.000 10.738
La Tb Sc
2 2 2
direct
0.000 0.000 0.000
0.097 0.500 0.195
0.413 0.500 0.825
0.684 0.000 0.370
0.259 0.499 0.520
0.836 0.001 0.675
```

Values from the calculation:
SG ... P1 (1)
DOS at the Fermi energy ... 5.00 states/eV/f.u.
E ... -5.20 eV per atom
ΔH_f (0 K) ... 0.100 eV/atom